# 1
Compound: Ca2Te
Source: Alexandria
Functional: PBEsol
Structure: relaxed

## Properties
- total magnetization (Bohr magnetons per cell) = 0.0
- space group = Pnnm (58)
- formation energy from raw total energies (meV per atom) = -848
- crystal system = orthorhombic

abc: 7.193 7.452 4.200
angles: 90.00 90.00 90.00
Atoms (fractional coordinates):
Ca 0.228 0.154 0.000
Ca 0.272 0.654 0.500
Ca 0.728 0.346 0.500
Ca 0.772 0.846 0.000
Te 0.000 0.500 0.000
Te 0.500 0.000 0.500

# 2
Compound: CdNiTe2I
Source: Alexandria
Functional: PBEsol
Structure: relaxed

## Properties
- total magnetization (Bohr magnetons per cell) = 0.0
- space group = P4/mmm (123)
- formation energy from raw total energies (meV per atom) = 246
- crystal system = tetragonal

abc: 5.038 5.038 5.190
angles: 90.00 90.00 90.00
Atoms (fractional coordinates):
Cd 0.000 0.000 0.000
Ni 0.500 0.500 0.500
Te 0.000 0.500 0.500
Te 0.500 0.000 0.500
I 0.500 0.500 0.000

# 3
Compound: CaAg2Ir
Source: Alexandria
Functional: PBEsol
Structure: relaxed

## Properties
- formation energy (kJ/mol of atoms) = 15.01
- total magnetization (Bohr magnetons per cell) = 0.1
- space group = C2/m (12)
- crystal system = monoclinic

abc: 5.631 5.631 2.910
angles: 102.92 102.92 120.78
Atoms (fractional coordinates):
Ca 0.000 0.000 0.000
Ag 0.000 0.500 0.500
Ag 0.500 0.000 0.500
Ir 0.500 0.500 0.000

# 4
Compound: Na2ReAu
Source: Alexandria
Functional: PBEsol
Structure: relaxed

## Properties
- formation energy (kJ/mol of atoms) = 128.09
- total magnetization (Bohr magnetons per cell) = 3.2
- space group = Fm-3m (225)
- crystal system = cubic

abc: 4.739 4.739 4.739
angles: 60.00 60.00 60.00
Atoms (fractional coordinates):
Na 0.250 0.250 0.250
Na 0.750 0.750 0.750
Re 0.000 0.000 0.000
Au 0.500 0.500 0.500

# 5
Compound: HoCu4Ag
Source: Alexandria
Functional: PBEsol
Structure: relaxed

## Properties
- formation energy (kJ/mol of atoms) = -24.44
- total magnetization (Bohr magnetons per cell) = 0.0
- space group = F-43m (216)
- crystal system = cubic

abc: 4.948 4.948 4.948
angles: 60.00 60.00 60.00
Atoms (fractional coordinates):
Ho 0.000 0.000 0.000
Cu 0.376 0.376 0.376
Cu 0.376 0.376 0.873
Cu 0.376 0.873 0.376
Cu 0.873 0.376 0.376
Ag 0.750 0.750 0.750

# 6
Compound: Li2AsRh2
Source: Alexandria
Functional: PBEsol
Structure: relaxed

## Properties
- formation energy (kJ/mol of atoms) = -37.41
- total magnetization (Bohr magnetons per cell) = 0.0
- space group = P4/mbm (127)
- crystal system = tetragonal

abc: 6.049 6.049 4.188
angles: 90.00 90.00 90.00
Atoms (fractional coordinates):
Li 0.160 0.340 0.000
Li 0.340 0.840 0.000
Li 0.660 0.160 0.000
Li 0.840 0.660 0.000
As 0.000 0.000 0.500
As 0.500 0.500 0.500
Rh 0.149 0.649 0.500
Rh 0.351 0.149 0.500
Rh 0.649 0.851 0.500
Rh 0.851 0.351 0.500